First-principles (meta-GGA SCAN) data for a PBEsol-optimized structure of Er4Si9Ir13, as listed in Alexandria.

Electronic total energy (eV/atom): -47.90
Spin magnetization (Bohr magnetons per cell): 0.00
Symmetry: Pmmn (59)
DOS(E_F) (states/eV/cell): 20.9
Formation energy without anion corrections (eV/atom): -1.1358

Lattice parameters (Å, degrees): 3.903 10.892 18.815 90.00 90.00 90.00
Fractional positions:
Er  0.500  0.691  0.208
Er  0.000  0.809  0.792
Er  0.000  0.191  0.792
Er  0.500  0.309  0.208
Er  0.500  0.000  0.519
Er  0.000  0.500  0.481
Er  0.500  0.500  0.022
Er  0.000  0.000  0.978
Si  0.000  0.000  0.398
Si  0.500  0.500  0.602
Si  0.500  0.319  0.415
Si  0.000  0.181  0.585
Si  0.000  0.819  0.585
Si  0.500  0.681  0.415
Si  0.000  0.688  0.081
Si  0.500  0.812  0.919
Si  0.500  0.188  0.919
Si  0.000  0.312  0.081
Si  0.500  0.000  0.101
Si  0.000  0.500  0.899
Si  0.500  0.373  0.730
Si  0.000  0.127  0.270
Si  0.000  0.873  0.270
Si  0.500  0.627  0.730
Si  0.500  0.000  0.733
Si  0.000  0.500  0.267
Ir  0.000  0.684  0.335
Ir  0.500  0.816  0.665
Ir  0.500  0.184  0.665
Ir  0.000  0.316  0.335
Ir  0.000  0.500  0.142
Ir  0.500  0.000  0.858
Ir  0.500  0.500  0.343
Ir  0.000  0.000  0.657
Ir  0.000  0.500  0.773
Ir  0.500  0.000  0.227
Ir  0.500  0.689  0.539
Ir  0.000  0.811  0.461
Ir  0.000  0.189  0.461
Ir  0.500  0.311  0.539
Ir  0.000  0.701  0.953
Ir  0.500  0.799  0.047
Ir  0.500  0.201  0.047
Ir  0.000  0.299  0.953
Ir  0.000  0.876  0.143
Ir  0.500  0.624  0.857
Ir  0.500  0.376  0.857
Ir  0.000  0.124  0.143
Ir  0.500  0.872  0.355
Ir  0.000  0.628  0.645
Ir  0.000  0.372  0.645
Ir  0.500  0.128  0.355